The following is a PBE with a Hubbard U calculation of a relaxed LiVF6 crystal, from Alexandria.

Computed properties:
* crystal system: trigonal
* D(E_F): 0.00 states/eV/atom
* final energy: -5.17 eV/atom
* symmetry: P3m1 (156)

The structure in POSCAR format:
```
LiVF6
1.0
5.629 0.000 0.000
-2.815 4.875 0.000
0.000 0.000 4.900
V F Li
1 6 1
Direct
0.333 0.667 0.018
0.181 0.362 0.218
0.181 0.819 0.218
0.638 0.819 0.218
0.485 0.515 0.789
0.485 0.970 0.789
0.030 0.515 0.789
0.667 0.333 0.678
```